# 1
Below is crystalline Sr6AsP2N at its relaxed geometry, with properties calculated at the PBE-GGA level. Values from VASP.

```
&SYSTEM
  ibrav = 0, nat = 20, ntyp = 4
/
ATOMIC_SPECIES
Sr 87.62 Sr.upf
As 74.92 As.upf
P 30.97 P.upf
N 14.01 N.upf
CELL_PARAMETERS angstrom
7.310 0.000 0.000
0.000 7.810 0.000
-7.286 0.000 10.586
ATOMIC_POSITIONS crystal
Sr 0.096 0.207 0.426
Sr 0.096 0.293 0.926
Sr 0.229 0.673 0.438
Sr 0.229 0.827 0.938
Sr 0.364 0.065 0.231
Sr 0.364 0.435 0.731
Sr 0.636 0.565 0.269
Sr 0.636 0.935 0.769
Sr 0.771 0.173 0.062
Sr 0.771 0.327 0.562
Sr 0.904 0.707 0.074
Sr 0.904 0.793 0.574
As 0.500 0.000 0.500
As 0.500 0.500 0.000
P 0.228 0.074 0.753
P 0.228 0.426 0.253
P 0.772 0.574 0.747
P 0.772 0.926 0.247
N 0.000 0.000 0.000
N 0.000 0.500 0.500
```

Summary:
Final energy, hartree per atom: -0.1584
Raw formation energy, eV per atom: -0.922
Theoretical density, Mg/m³: 3.7
Size of the total moment, μB per atom: 0.0000

---

# 2
Below is crystalline Te2AsPN at its relaxed geometry, with properties calculated at the PBE-GGA level. Values from VASP.

```
&SYSTEM
  ibrav = 0, nat = 5, ntyp = 4
/
ATOMIC_SPECIES
Te 127.60 Te.upf
As 74.92 As.upf
P 30.97 P.upf
N 14.01 N.upf
CELL_PARAMETERS angstrom
5.505 0.000 0.000
0.000 5.505 0.000
0.000 0.000 3.651
ATOMIC_POSITIONS crystal
Te 0.000 0.500 0.000
Te 0.500 0.000 0.000
As 0.000 0.000 0.000
P 0.500 0.500 0.500
N 0.000 0.000 0.500
```

Summary:
Distance to the lowest polymorph of the same formula, eV/atom: 0.4594
Final energy, hartree per atom: -0.1415
Raw formation energy, eV per atom: 1.084
Theoretical density, Mg/m³: 5.6
Size of the total moment, μB per atom: 0.0001